# Tb7CdCo2, optimized geometry, DFT PBE
# Crystal system = orthorhombic
# M_tot = 0.000 Bohr magnetons per cell
# V = 593 Å³/cell
# DFT formation energy = 0.0064 eV per atom
# Uncorrected energy = -4.75 eV/atom
data_Tb7CdCo2
_chemical_formula_sum 'Tb14 Cd2 Co4'
_space_group_name_H-M_alt 'C m m m'
_space_group_IT_number 65
_space_group_name_Hall '-C 2 2'
_cell_length_a 8.954
_cell_length_b 13.353
_cell_length_c 4.956
_cell_angle_alpha 90.00
_cell_angle_beta 90.00
_cell_angle_gamma 90.00
loop_
_atom_site_label
_atom_site_type_symbol
_atom_site_fract_x
_atom_site_fract_y
_atom_site_fract_z
Tb1 Tb 0.000 0.000 0.000
Tb2 Tb 0.000 0.205 0.500
Tb3 Tb 0.184 0.368 0.000
Cd1 Cd 0.000 0.500 0.500
Co1 Co 0.000 0.203 0.000

***

# TcPbSe2, optimized geometry, DFT PBE
# Crystal system = orthorhombic
# Uncorrected formation energy = -7 kJ per mole of atoms
# M_tot = 0.000 Bohr magnetons per cell
# V = 181 Å³/cell
# Distance to the lowest polymorph of the same formula = 87 meV per atom
# Uncorrected energy = -5.33 eV/atom
data_TcPbSe2
_chemical_formula_sum 'Tc2 Pb2 Se4'
_space_group_name_H-M_alt 'I m m 2'
_space_group_IT_number 44
_cell_length_a 3.165
_cell_length_b 3.205
_cell_length_c 17.863
_cell_angle_alpha 90.00
_cell_angle_beta 90.00
_cell_angle_gamma 90.00
loop_
_space_group_symop_operation_xyz
'x,y,z'
'-x,-y,z'
'-x,y,z'
'x,-y,z'
'x+1/2,y+1/2,z+1/2'
'-x+1/2,-y+1/2,z+1/2'
'-x+1/2,y+1/2,z+1/2'
'x+1/2,-y+1/2,z+1/2'
loop_
_atom_site_label
_atom_site_type_symbol
_atom_site_fract_x
_atom_site_fract_y
_atom_site_fract_z
Tc1 Tc 0.000 0.000 0.000
Pb1 Pb 0.000 0.500 0.255
Se1 Se 0.000 0.000 0.428
Se2 Se 0.000 0.500 0.606

***

# KGdHfTiO6, optimized geometry, DFT PBE
# Crystal system = cubic
# Uncorrected formation energy = -287 kJ per mole of atoms
# M_tot = 27.957 Bohr magnetons per cell
# V = 515 Å³/cell
# Uncorrected energy = -9.26 eV/atom
data_KGdHfTiO6
_chemical_formula_sum 'K4 Gd4 Hf4 Ti4 O24'
_space_group_name_H-M_alt 'F -4 3 m'
_space_group_IT_number 216
_space_group_name_Hall 'F -4 2 3'
_cell_length_a 8.017
_cell_length_b 8.017
_cell_length_c 8.017
_cell_angle_alpha 90.00
_cell_angle_beta 90.00
_cell_angle_gamma 90.00
loop_
_atom_site_label
_atom_site_type_symbol
_atom_site_fract_x
_atom_site_fract_y
_atom_site_fract_z
K1 K 0.000 0.000 0.000
Gd1 Gd 0.000 0.000 0.500
Hf1 Hf 0.250 0.250 0.750
Ti1 Ti 0.250 0.250 0.250
O1 O 0.006 0.250 0.250

***

# La3PmPr7, optimized geometry, DFT PBE
# Crystal system = orthorhombic
# M_tot = 0.000 Bohr magnetons per cell
# V = 819 Å³/cell
# DFT formation energy = 0.2051 eV per atom
# Distance to the lowest polymorph of the same formula = 8 meV per atom
# Uncorrected energy = -4.61 eV/atom
data_La3PmPr7
_chemical_formula_sum 'La6 Pm2 Pr14'
_space_group_name_H-M_alt 'I m m m'
_space_group_IT_number 71
_space_group_name_Hall '-I 2 2'
_cell_length_a 6.080
_cell_length_b 11.556
_cell_length_c 11.656
_cell_angle_alpha 90.00
_cell_angle_beta 90.00
_cell_angle_gamma 90.00
loop_
_atom_site_label
_atom_site_type_symbol
_atom_site_fract_x
_atom_site_fract_y
_atom_site_fract_z
La1 La 0.000 0.000 0.000
La2 La 0.000 0.289 0.500
Pm1 Pm 0.000 0.500 0.000
Pr1 Pr 0.000 0.000 0.500
Pr2 Pr 0.000 0.202 0.200
Pr3 Pr 0.000 0.500 0.292

***

# HfNi2H, optimized geometry, DFT PBE
# Crystal system = trigonal
# M_tot = 0.000 Bohr magnetons per cell
# V = 143 Å³/cell
# Distance to the lowest polymorph of the same formula = 458 meV per atom
# Uncorrected energy = -5.95 eV/atom
data_HfNi2H
_chemical_formula_sum 'Hf3 Ni6 H3'
_space_group_name_H-M_alt 'R -3 m'
_space_group_IT_number 166
_space_group_name_Hall '-R 3 2"'
_cell_length_a 2.8167
_cell_length_b 2.8167
_cell_length_c 20.8497
_cell_angle_alpha 90.00
_cell_angle_beta 90.00
_cell_angle_gamma 120.00
loop_
_atom_site_label
_atom_site_type_symbol
_atom_site_fract_x
_atom_site_fract_y
_atom_site_fract_z
Hf1 Hf 0.0000 0.0000 0.0000
Ni1 Ni 0.0000 0.0000 0.1192
H1 H 0.0000 0.0000 0.5000

***

# RbInPb, optimized geometry, DFT PBE
# Crystal system = tetragonal
# M_tot = 0.000 Bohr magnetons per cell
# V = 215 Å³/cell
# DFT formation energy = -0.0664 eV per atom
# Uncorrected energy = -2.54 eV/atom
data_RbInPb
_chemical_formula_sum 'Rb2 In2 Pb2'
_space_group_name_H-M_alt 'I 4 m m'
_space_group_IT_number 107
_space_group_name_Hall 'I 4 -2'
_cell_length_a 3.707
_cell_length_b 3.707
_cell_length_c 15.620
_cell_angle_alpha 90.00
_cell_angle_beta 90.00
_cell_angle_gamma 90.00
loop_
_atom_site_label
_atom_site_type_symbol
_atom_site_fract_x
_atom_site_fract_y
_atom_site_fract_z
Rb1 Rb 0.000 0.000 0.000
In1 In 0.000 0.000 0.680
Pb1 Pb 0.000 0.000 0.311

***

# MgAsS3, optimized geometry, DFT PBE
# Crystal system = monoclinic
# Uncorrected formation energy = -47 kJ per mole of atoms
# M_tot = 0.000 Bohr magnetons per cell
# V = 273 Å³/cell
# Uncorrected energy = -4.21 eV/atom
data_MgAsS3
_chemical_formula_sum 'Mg2 As2 S6'
_space_group_name_H-M_alt 'P 1 21/m 1'
_space_group_IT_number 11
_cell_length_a 6.051
_cell_length_b 4.160
_cell_length_c 10.911
_cell_angle_alpha 90.00
_cell_angle_beta 95.66
_cell_angle_gamma 90.00
loop_
_space_group_symop_operation_xyz
'x,y,z'
'-x,-y,-z'
'-x,y+1/2,-z'
'x,-y+1/2,z'
loop_
_atom_site_label
_atom_site_type_symbol
_atom_site_fract_x
_atom_site_fract_y
_atom_site_fract_z
Mg1 Mg 0.116 0.250 0.166
As1 As 0.286 0.250 0.731
S1 S 0.130 0.250 0.911
S2 S 0.161 0.750 0.652
S3 S 0.348 0.750 0.235

***

# SbAu, optimized geometry, DFT PBE
# Crystal system = monoclinic
# Uncorrected formation energy = 6 kJ per mole of atoms
# M_tot = 0.000 Bohr magnetons per cell
# V = 95 Å³/cell
# Uncorrected energy = -3.64 eV/atom
data_SbAu
_chemical_formula_sum 'Sb2 Au2'
_space_group_name_H-M_alt 'P 1 21/m 1'
_space_group_IT_number 11
_cell_length_a 4.082
_cell_length_b 4.081
_cell_length_c 5.673
_cell_angle_alpha 90.00
_cell_angle_beta 90.25
_cell_angle_gamma 90.00
loop_
_space_group_symop_operation_xyz
'x,y,z'
'-x,-y,-z'
'-x,y+1/2,-z'
'x,-y+1/2,z'
loop_
_atom_site_label
_atom_site_type_symbol
_atom_site_fract_x
_atom_site_fract_y
_atom_site_fract_z
Sb1 Sb 0.250 0.250 0.124
Au1 Au 0.249 0.750 0.500

***

# NiAgAs2, optimized geometry, DFT PBE
# Crystal system = tetragonal
# M_tot = 0.000 Bohr magnetons per cell
# V = 344 Å³/cell
# DFT formation energy = 0.2118 eV per atom
# Distance to the lowest polymorph of the same formula = 211 meV per atom
# Uncorrected energy = -4.27 eV/atom
data_NiAgAs2
_chemical_formula_sum 'Ni4 Ag4 As8'
_space_group_name_H-M_alt 'I -4 2 d'
_space_group_IT_number 122
_space_group_name_Hall 'I -4 2bw'
_cell_length_a 5.913
_cell_length_b 5.913
_cell_length_c 9.852
_cell_angle_alpha 90.00
_cell_angle_beta 90.00
_cell_angle_gamma 90.00
loop_
_atom_site_label
_atom_site_type_symbol
_atom_site_fract_x
_atom_site_fract_y
_atom_site_fract_z
Ni1 Ni 0.000 0.000 0.000
Ag1 Ag 0.000 0.000 0.500
As1 As 0.201 0.250 0.125

***

# Ca3Tc2, optimized geometry, DFT PBE
# Crystal system = trigonal
# M_tot = 6.258 Bohr magnetons per cell
# V = 355 Å³/cell
# DFT formation energy = 0.8050 eV per atom
# Distance to the lowest polymorph of the same formula = 178 meV per atom
# Uncorrected energy = -4.54 eV/atom
data_Ca3Tc2
_chemical_formula_sum 'Ca9 Tc6'
_space_group_name_H-M_alt 'R -3 m'
_space_group_IT_number 166
_space_group_name_Hall '-R 3 2"'
_cell_length_a 3.2610
_cell_length_b 3.2610
_cell_length_c 38.5386
_cell_angle_alpha 90.00
_cell_angle_beta 90.00
_cell_angle_gamma 120.00
loop_
_atom_site_label
_atom_site_type_symbol
_atom_site_fract_x
_atom_site_fract_y
_atom_site_fract_z
Ca1 Ca 0.0000 0.0000 0.0000
Ca2 Ca 0.0000 0.0000 0.2127
Tc1 Tc 0.0000 0.0000 0.3956

***

# Pm4SmEr8, optimized geometry, DFT PBE
# Crystal system = trigonal
# M_tot = 0.000 Bohr magnetons per cell
# V = 1259 Å³/cell
# DFT formation energy = 0.2041 eV per atom
# Uncorrected energy = -4.43 eV/atom
data_Pm4SmEr8
_chemical_formula_sum 'Pm12 Sm3 Er24'
_space_group_name_H-M_alt 'R -3 m'
_space_group_IT_number 166
_space_group_name_Hall '-R 3 2"'
_cell_length_a 7.3649
_cell_length_b 7.3649
_cell_length_c 26.7944
_cell_angle_alpha 90.00
_cell_angle_beta 90.00
_cell_angle_gamma 120.00
loop_
_atom_site_label
_atom_site_type_symbol
_atom_site_fract_x
_atom_site_fract_y
_atom_site_fract_z
Pm1 Pm 0.0000 0.0000 0.0000
Pm2 Pm 0.0000 0.5000 0.0000
Sm1 Sm 0.0000 0.0000 0.5000
Er1 Er 0.0000 0.0000 0.2183
Er2 Er 0.0411 0.5205 0.7710

***

# LiCdRe2, optimized geometry, DFT PBE
# Crystal system = monoclinic
# M_tot = 0.000 Bohr magnetons per cell
# V = 128 Å³/cell
# DFT formation energy = 0.3491 eV per atom
# Uncorrected energy = -6.58 eV/atom
data_LiCdRe2
_chemical_formula_sum 'Li2 Cd2 Re4'
_space_group_name_H-M_alt 'C 1 m 1'
_space_group_IT_number 8
_cell_length_a 8.819
_cell_length_b 2.729
_cell_length_c 5.330
_cell_angle_alpha 90.00
_cell_angle_beta 94.90
_cell_angle_gamma 90.00
loop_
_space_group_symop_operation_xyz
'x,y,z'
'x,-y,z'
'x+1/2,y+1/2,z'
'x+1/2,-y+1/2,z'
loop_
_atom_site_label
_atom_site_type_symbol
_atom_site_fract_x
_atom_site_fract_y
_atom_site_fract_z
Li1 Li 0.000 0.000 0.000
Cd1 Cd 0.255 0.500 0.208
Re1 Re 0.244 0.000 0.715
Re2 Re 0.495 0.000 0.535